The following is a DFT calculation (PBE) of crystalline Si2NiAu2 at its relaxed geometry.

Structure (POSCAR):
```
Si2NiAu2
1.0
-3.4206 1.3624 4.7465
-3.4728 -4.7685 -1.1340
2.6025 -2.5129 2.5967
Si Au Ni
4 4 2
direct
0.3647 0.8647 0.0000 Si
0.6353 0.1353 0.0000 Si
0.8647 0.6353 0.0000 Si
0.1353 0.3647 0.0000 Si
0.2381 0.7381 0.5000 Au
0.7381 0.7619 0.5000 Au
0.7619 0.2619 0.5000 Au
0.2619 0.2381 0.5000 Au
0.0000 0.0000 0.0000 Ni
0.5000 0.5000 0.0000 Ni
```

## Properties
The space group is No. 127. As for the uncorrected formation energy: -0.007 eV/atom. The calculation puts the total magnetization at 0.00 μB per cell. The density of states at the Fermi level is 3.18 states/eV/cell.

The following is a DFT calculation (PBE) of crystalline CaTa2Ni at its relaxed geometry.

Structure (POSCAR):
```
CaTa2Ni
1.0
5.6811 -0.0025 0.0005
2.4920 5.1054 -0.0005
-3.2977 -3.8150 2.6166
Ca Ni Ta
1 1 2
direct
0.4750 0.4750 0.0000 Ca
0.2279 0.7279 0.5000 Ni
0.7732 0.2732 0.5000 Ta
0.0238 0.0238 0.0000 Ta
```

## Properties
The space group is No. 44. For the calculated formation energy, the calculation gives 522 meV/atom. The calculation puts the total magnetization at 0.00 μB per cell. The calculation puts the excess energy over the best structure of this formula in the dataset at 315.6 meV per atom. The density of states at the Fermi level is 4.53 states/eV/cell.

The following is a DFT calculation (PBE) of crystalline Sr2HoInAu6 at its relaxed geometry.

Structure (POSCAR):
```
Sr2HoInAu6
1.0
7.6227 -0.0004 0.0000
0.0005 7.6227 0.0000
3.8116 3.8111 5.3901
Ho Au In Sr
1 6 1 2
direct
0.5000 0.5000 0.0000 Ho
0.2471 0.2471 0.0000 Au
0.7529 0.7529 0.0000 Au
0.7529 0.2471 0.0000 Au
0.7529 0.7529 0.4943 Au
0.2471 0.2471 0.5057 Au
0.2471 0.7529 0.0000 Au
0.0000 0.0000 0.0000 In
0.7500 0.2500 0.5000 Sr
0.2500 0.7500 0.5000 Sr
```

## Properties
The space group is No. 225. For the calculated formation energy, the calculation gives -259 meV/atom. The calculation puts the total magnetization at 0.00 μB per cell. The density of states at the Fermi level is 4.68 states/eV/cell.

The following is a DFT calculation (PBE) of crystalline Tm6Pb3C2 at its relaxed geometry.

Structure (POSCAR):
```
Tm6Pb3C2
1.0
-1.7291 2.5992 -3.5649
0.3500 -3.7360 -2.8938
-10.8465 -2.8921 6.3018
C Pb Tm
2 3 6
direct
0.3978 0.3978 0.7956 C
0.6022 0.6022 0.2044 C
0.1795 0.1795 0.3590 Pb
0.8205 0.8205 0.6410 Pb
0.0000 0.0000 0.0000 Pb
0.9157 0.4157 0.8315 Tm
0.6927 0.6927 0.3854 Tm
0.3073 0.3073 0.6146 Tm
0.4157 0.9157 0.8315 Tm
0.5843 0.0843 0.1685 Tm
0.0843 0.5843 0.1685 Tm
```

## Properties
The space group is No. 139. For the calculated formation energy, the calculation gives -384 meV/atom. The calculation puts the total magnetization at 0.00 μB per cell. The density of states at the Fermi level is 5.48 states/eV/cell.

The following is a DFT calculation (PBE) of crystalline CdAsW2 at its relaxed geometry.

Structure (POSCAR):
```
CdAsW2
1.0
0.0000 3.2122 3.2122
3.2122 0.0000 3.2122
3.2122 3.2122 0.0000
W As Cd
2 1 1
direct
0.7500 0.7500 0.7500 W
0.2500 0.2500 0.2500 W
0.0000 0.0000 0.0000 As
0.5000 0.5000 0.5000 Cd
```

## Properties
The space group is No. 225. For the calculated formation energy, the calculation gives 851 meV/atom. The calculation puts the total magnetization at 0.00 μB per cell. The calculation puts the excess energy over the best structure of this formula in the dataset at 515.2 meV per atom. The density of states at the Fermi level is 3.35 states/eV/cell.

The following is a DFT calculation (PBE) of crystalline Ho2Ga5Ni at its relaxed geometry.

Structure (POSCAR):
```
Ho2Ga5Ni
1.0
6.0133 -0.0147 -0.0209
-2.9734 5.2268 0.0209
-2.9734 -1.7584 4.9222
Ga Ho Ni
5 2 1
direct
0.0000 0.2466 0.2466 Ga
0.0000 0.7223 0.2824 Ga
0.5601 0.2824 0.2824 Ga
0.4399 0.7223 0.7223 Ga
0.0000 0.2824 0.7223 Ga
0.5000 0.7548 0.2548 Ho
0.5000 0.2548 0.7548 Ho
0.0000 0.9565 0.9565 Ni
```

## Properties
The space group is No. 107. For the calculated formation energy, the calculation gives -454 meV/atom. The calculation puts the total magnetization at 0.00 μB per cell. The density of states at the Fermi level is 4.56 states/eV/cell.

The following is a DFT calculation (PBE) of crystalline K2TcPb at its relaxed geometry.

Structure (POSCAR):
```
K2TcPb
1.0
6.6669 0.1496 0.0740
2.3466 6.2420 -0.0740
-3.9001 -4.0513 3.5849
K Tc Pb
2 1 1
direct
0.7251 0.2251 0.5000 K
0.0202 0.0202 0.0000 K
0.3067 0.8067 0.5000 Tc
0.4480 0.4480 0.0000 Pb
```

## Properties
The space group is No. 44. For the calculated formation energy, the calculation gives 747 meV/atom. The calculation puts the total magnetization at 2.74 μB per cell. The density of states at the Fermi level is 3.60 states/eV/cell.

The following is a DFT calculation (PBE) of crystalline ErTm3Ni at its relaxed geometry.

Structure (POSCAR):
```
ErTm3Ni
1.0
5.2257 0.0000 0.0000
0.0000 5.2257 0.0000
0.0000 0.0000 5.2257
Tm Ni Er
3 1 1
direct
0.0000 0.5000 0.0000 Tm
0.5000 0.0000 0.0000 Tm
0.0000 0.0000 0.5000 Tm
0.0000 0.0000 0.0000 Ni
0.5000 0.5000 0.5000 Er
```

## Properties
The space group is No. 221. For the calculated formation energy, the calculation gives -55 meV/atom. The calculation puts the total magnetization at 0.00 μB per cell. The calculation puts the excess energy over the best structure of this formula in the dataset at 72.6 meV per atom. The density of states at the Fermi level is 8.45 states/eV/cell.

VASP energy / eV per atom: -4.6436 -7.3504 -3.2938 -5.5119 -7.0167 -4.2130 -3.3203 -4.8063